1.
! GGA-PBEsol Te3WN, relaxed; values from VASP
! **ΔE_f (raw)**: 1.186 eV/atom
! **Symmetry**: Pm-3m
&SYSTEM
  ibrav = 0, nat = 5, ntyp = 3
/
ATOMIC_SPECIES
Te 127.60 Te.upf
W 183.84 W.upf
N 14.01 N.upf
CELL_PARAMETERS angstrom
4.567 0.000 0.000
0.000 4.567 0.000
0.000 0.000 4.567
ATOMIC_POSITIONS crystal
Te 0.000 0.500 0.000
W 0.500 0.500 0.500
Te 0.500 0.000 0.000
Te 0.000 0.000 0.500
N 0.000 0.000 0.000

---

2.
! GGA-PBEsol BaMgOF2, relaxed; values from VASP
! **ΔE_f (raw)**: -1.792 eV/atom
! **Symmetry**: P4/mmm
&SYSTEM
  ibrav = 0, nat = 5, ntyp = 4
/
ATOMIC_SPECIES
O 16.00 O.upf
Mg 24.30 Mg.upf
F 19.00 F.upf
Ba 137.33 Ba.upf
CELL_PARAMETERS angstrom
4.861 0.000 0.000
0.000 4.861 0.000
0.000 0.000 4.931
ATOMIC_POSITIONS crystal
O 0.000 0.000 0.500
Mg 0.500 0.500 0.500
F 0.500 0.000 0.000
Ba 0.000 0.000 0.000
F 0.000 0.500 0.000

---

3.
! GGA-PBEsol BaCr3Ni, relaxed; values from VASP
! **E_form**: 14.663 eV per formula unit
! **Symmetry**: Pm-3m
&SYSTEM
  ibrav = 0, nat = 5, ntyp = 3
/
ATOMIC_SPECIES
Ni 58.69 Ni.upf
Cr 52.00 Cr.upf
Ba 137.33 Ba.upf
CELL_PARAMETERS angstrom
4.807 0.000 0.000
0.000 4.807 0.000
0.000 0.000 4.807
ATOMIC_POSITIONS crystal
Ni 0.500 0.500 0.500
Cr 0.000 0.500 0.000
Ba 0.000 0.000 0.000
Cr 0.000 0.000 0.500
Cr 0.500 0.000 0.000

---

4.
! GGA-PBEsol Al4CoOs, relaxed; values from VASP
! **E_form**: 1.366 eV per formula unit
! **Symmetry**: F-43m
&SYSTEM
  ibrav = 0, nat = 6, ntyp = 3
/
ATOMIC_SPECIES
Al 26.98 Al.upf
Os 190.23 Os.upf
Co 58.93 Co.upf
CELL_PARAMETERS angstrom
4.869 0.000 0.000
2.435 4.217 0.000
2.435 1.406 3.976
ATOMIC_POSITIONS crystal
Al 0.625 0.125 0.625
Al 0.625 0.625 0.625
Os 0.000 0.000 0.000
Co 0.250 0.250 0.250
Al 0.125 0.625 0.625
Al 0.625 0.625 0.125

---

| no. | final energy (eV/cell) |
| --- | --- |
| 1 | -26.98 |
| 2 | -21.93 |
| 3 | -24.37 |
| 4 | -34.95 |